Entry 1:
# Mg5In3 (PBEsol, optimized geometry)
data_Mg5In3
_cell_length_a 8.758
_cell_length_b 9.034
_cell_length_c 4.508
_cell_angle_alpha 90.00
_cell_angle_beta 90.00
_cell_angle_gamma 90.00
_symmetry_space_group_name_H-M 'C m m m'
_symmetry_Int_Tables_number 65
_symmetry_space_group_name_Hall '-C 2 2'
loop_
_atom_site_label
_atom_site_type_symbol
_atom_site_fract_x
_atom_site_fract_y
_atom_site_fract_z
Mg1 Mg 0.000 0.000 0.000
Mg2 Mg 0.239 0.500 0.500
Mg3 Mg 0.250 0.250 0.000
In1 In 0.000 0.234 0.500
In2 In 0.000 0.500 0.000
# - Calculated formation energy: -0.114 eV/atom
# - Crystal system: orthorhombic

Entry 2:
# MgIn5 (PBEsol, optimized geometry)
data_MgIn5
_cell_length_a 3.323
_cell_length_b 3.323
_cell_length_c 13.335
_cell_angle_alpha 90.00
_cell_angle_beta 90.00
_cell_angle_gamma 90.00
_symmetry_space_group_name_H-M 'P 4/m m m'
_symmetry_Int_Tables_number 123
_symmetry_space_group_name_Hall '-P 4 2'
loop_
_atom_site_label
_atom_site_type_symbol
_atom_site_fract_x
_atom_site_fract_y
_atom_site_fract_z
Mg1 Mg 0.000 0.000 0.000
In1 In 0.000 0.000 0.326
In2 In 0.500 0.500 0.155
In3 In 0.500 0.500 0.500
# - Calculated formation energy: -0.037 eV/atom
# - Crystal system: tetragonal

Entry 3:
# MgIn (PBEsol, optimized geometry)
data_MgIn
_cell_length_a 10.153
_cell_length_b 9.014
_cell_length_c 6.094
_cell_angle_alpha 90.00
_cell_angle_beta 90.00
_cell_angle_gamma 90.00
_symmetry_space_group_name_H-M 'P b c m'
_symmetry_Int_Tables_number 57
_symmetry_space_group_name_Hall '-P 2c 2b'
loop_
_atom_site_label
_atom_site_type_symbol
_atom_site_fract_x
_atom_site_fract_y
_atom_site_fract_z
Mg1 Mg 0.122 0.250 0.000
Mg2 Mg 0.165 0.654 0.250
Mg3 Mg 0.353 0.047 0.250
In1 In 0.068 0.539 0.750
In2 In 0.357 0.100 0.750
In3 In 0.414 0.750 0.000
# - Calculated formation energy: -0.075 eV/atom
# - Crystal system: orthorhombic

Entry 4:
# MgIn (PBEsol, optimized geometry)
data_MgIn
_cell_length_a 3.2595
_cell_length_b 3.2595
_cell_length_c 10.2930
_cell_angle_alpha 90.00
_cell_angle_beta 90.00
_cell_angle_gamma 120.00
_symmetry_space_group_name_H-M 'P -3 m 1'
_symmetry_Int_Tables_number 164
_symmetry_space_group_name_Hall '-P 3 2"'
loop_
_atom_site_label
_atom_site_type_symbol
_atom_site_fract_x
_atom_site_fract_y
_atom_site_fract_z
Mg1 Mg 0.3333 0.6667 0.3766
In1 In 0.3333 0.6667 0.8695
# - Calculated formation energy: -0.027 eV/atom
# - Crystal system: trigonal

Entry 5:
# MgIn7 (PBEsol, optimized geometry)
data_MgIn7
_cell_length_a 9.256
_cell_length_b 9.256
_cell_length_c 9.256
_cell_angle_alpha 90.00
_cell_angle_beta 90.00
_cell_angle_gamma 90.00
_symmetry_space_group_name_H-M 'F m -3 m'
_symmetry_Int_Tables_number 225
_symmetry_space_group_name_Hall '-F 4 2 3'
loop_
_atom_site_label
_atom_site_type_symbol
_atom_site_fract_x
_atom_site_fract_y
_atom_site_fract_z
Mg1 Mg 0.000 0.000 0.000
In1 In 0.000 0.000 0.500
In2 In 0.000 0.250 0.250
# - Calculated formation energy: -0.033 eV/atom
# - Crystal system: cubic

Entry 6:
# Mg3In (PBEsol, optimized geometry)
data_Mg3In
_cell_length_a 7.768
_cell_length_b 8.597
_cell_length_c 5.705
_cell_angle_alpha 90.00
_cell_angle_beta 90.00
_cell_angle_gamma 90.00
_symmetry_space_group_name_H-M 'P n m a'
_symmetry_Int_Tables_number 62
_symmetry_space_group_name_Hall '-P 2ac 2n'
loop_
_atom_site_label
_atom_site_type_symbol
_atom_site_fract_x
_atom_site_fract_y
_atom_site_fract_z
Mg1 Mg 0.016 0.250 0.072
Mg2 Mg 0.185 0.055 0.638
In1 In 0.115 0.750 0.453
# - Calculated formation energy: -0.030 eV/atom
# - Crystal system: orthorhombic

Entry 7:
# MgIn (PBEsol, optimized geometry)
data_MgIn
_cell_length_a 3.279
_cell_length_b 3.279
_cell_length_c 8.694
_cell_angle_alpha 90.00
_cell_angle_beta 90.00
_cell_angle_gamma 90.00
_symmetry_space_group_name_H-M 'P 4/n m m'
_symmetry_Int_Tables_number 129
loop_
_symmetry_equiv_pos_as_xyz
'x,y,z'
'-x,-y,-z'
'-y+1/2,x,z'
'y+1/2,-x,-z'
'-x+1/2,-y+1/2,z'
'x+1/2,y+1/2,-z'
'y,-x+1/2,z'
'-y,x+1/2,-z'
'x+1/2,-y,-z'
'-x+1/2,y,z'
'-y,-x,-z'
'y,x,z'
'-x,y+1/2,-z'
'x,-y+1/2,z'
'y+1/2,x+1/2,-z'
'-y+1/2,-x+1/2,z'
loop_
_atom_site_label
_atom_site_type_symbol
_atom_site_fract_x
_atom_site_fract_y
_atom_site_fract_z
Mg1 Mg 0.250 0.250 0.124
In1 In 0.250 0.250 0.632
# - Calculated formation energy: -0.047 eV/atom
# - Crystal system: tetragonal

Entry 8:
# Mg3In (PBEsol, optimized geometry)
data_Mg3In
_cell_length_a 3.191
_cell_length_b 5.159
_cell_length_c 5.449
_cell_angle_alpha 90.00
_cell_angle_beta 90.00
_cell_angle_gamma 90.00
_symmetry_space_group_name_H-M 'P m m 2'
_symmetry_Int_Tables_number 25
_symmetry_space_group_name_Hall 'P 2 -2'
loop_
_atom_site_label
_atom_site_type_symbol
_atom_site_fract_x
_atom_site_fract_y
_atom_site_fract_z
Mg1 Mg 0.000 0.000 0.000
Mg2 Mg 0.000 0.500 0.336
Mg3 Mg 0.500 0.500 0.838
In1 In 0.500 0.000 0.501
# - Calculated formation energy: -0.070 eV/atom
# - Crystal system: orthorhombic

Entry 9:
# MgIn5 (PBEsol, optimized geometry)
data_MgIn5
_cell_length_a 4.480
_cell_length_b 14.630
_cell_length_c 4.492
_cell_angle_alpha 90.00
_cell_angle_beta 90.00
_cell_angle_gamma 90.00
_symmetry_space_group_name_H-M 'C m m m'
_symmetry_Int_Tables_number 65
_symmetry_space_group_name_Hall '-C 2 2'
loop_
_atom_site_label
_atom_site_type_symbol
_atom_site_fract_x
_atom_site_fract_y
_atom_site_fract_z
Mg1 Mg 0.000 0.000 0.000
In1 In 0.000 0.163 0.500
In2 In 0.000 0.337 0.000
In3 In 0.000 0.500 0.500
# - Calculated formation energy: -0.037 eV/atom
# - Crystal system: orthorhombic

Entry 10:
# MgIn (PBEsol, optimized geometry)
data_MgIn
_cell_length_a 5.1137
_cell_length_b 5.1137
_cell_length_c 8.7509
_cell_angle_alpha 90.00
_cell_angle_beta 90.00
_cell_angle_gamma 120.00
_symmetry_space_group_name_H-M 'P 63/m m c'
_symmetry_Int_Tables_number 194
_symmetry_space_group_name_Hall '-P 6c 2c'
loop_
_atom_site_label
_atom_site_type_symbol
_atom_site_fract_x
_atom_site_fract_y
_atom_site_fract_z
Mg1 Mg 0.3333 0.6667 0.0808
In1 In 0.0000 0.0000 0.2500
In2 In 0.3333 0.6667 0.7500
# - Calculated formation energy: 0.034 eV/atom
# - Crystal system: hexagonal

Entry 11:
# MgIn8 (PBEsol, optimized geometry)
data_MgIn8
_cell_length_a 9.839
_cell_length_b 9.839
_cell_length_c 4.622
_cell_angle_alpha 90.00
_cell_angle_beta 90.00
_cell_angle_gamma 90.00
_symmetry_space_group_name_H-M 'I 4/m m m'
_symmetry_Int_Tables_number 139
_symmetry_space_group_name_Hall '-I 4 2'
loop_
_atom_site_label
_atom_site_type_symbol
_atom_site_fract_x
_atom_site_fract_y
_atom_site_fract_z
Mg1 Mg 0.000 0.000 0.000
In1 In 0.000 0.331 0.000
In2 In 0.165 0.165 0.500
# - Calculated formation energy: -0.026 eV/atom
# - Crystal system: tetragonal

Entry 12:
# Mg3In (PBEsol, optimized geometry)
data_Mg3In
_cell_length_a 10.0511
_cell_length_b 10.0511
_cell_length_c 3.1045
_cell_angle_alpha 90.00
_cell_angle_beta 90.00
_cell_angle_gamma 120.00
_symmetry_space_group_name_H-M 'R -3 m'
_symmetry_Int_Tables_number 166
_symmetry_space_group_name_Hall '-R 3 2"'
loop_
_atom_site_label
_atom_site_type_symbol
_atom_site_fract_x
_atom_site_fract_y
_atom_site_fract_z
Mg1 Mg 0.0000 0.5000 0.0000
In1 In 0.0000 0.0000 0.0000
# - Calculated formation energy: -0.028 eV/atom
# - Crystal system: trigonal

Entry 13:
# Mg3In4 (PBEsol, optimized geometry)
data_Mg3In4
_cell_length_a 5.8950
_cell_length_b 5.8950
_cell_length_c 5.6052
_cell_angle_alpha 90.00
_cell_angle_beta 90.00
_cell_angle_gamma 120.00
_symmetry_space_group_name_H-M 'P 6/m m m'
_symmetry_Int_Tables_number 191
_symmetry_space_group_name_Hall '-P 6 2'
loop_
_atom_site_label
_atom_site_type_symbol
_atom_site_fract_x
_atom_site_fract_y
_atom_site_fract_z
Mg1 Mg 0.0000 0.5000 0.0000
In1 In 0.0000 0.0000 0.2524
In2 In 0.3333 0.6667 0.5000
# - Calculated formation energy: -0.005 eV/atom
# - Crystal system: hexagonal

| no. | DOS(E_F) (states/eV per cell) | size of the total moment (μB/atom) |
| --- | --- | --- |
| 1 | 6.66 | 0.000 |
| 2 | 2.28 | 0.000 |
| 3 | 9.81 | 0.000 |
| 4 | 1.76 | 0.000 |
| 5 | 11.00 | 0.000 |
| 6 | 4.63 | 0.000 |
| 7 | 1.90 | 0.000 |
| 8 | 1.52 | 0.000 |
| 9 | 5.78 | 0.000 |
| 10 | 3.32 | 0.000 |
| 11 | 7.59 | 0.000 |
| 12 | 4.99 | 0.000 |
| 13 | 3.14 | 0.000 |